# ScCo2Si2, single point on PBEsol structure, DFT meta-GGA SCAN
# Total magnetization: 0.00 μB per formula unit
# Raw formation energy: -0.754 eV/atom
# DOS at the Fermi energy: 1.8 states/eV/cell
data_ScCo2Si2
_cell_length_a 3.727
_cell_length_b 3.727
_cell_length_c 5.443
_cell_angle_alpha 110.02
_cell_angle_beta 110.02
_cell_angle_gamma 90.00
_space_group_name_H-M_alt 'P 1'
_space_group_IT_number 1
_space_group_name_Hall 'P 1'
loop_
_atom_site_label
_atom_site_type_symbol
_atom_site_fract_x
_atom_site_fract_y
_atom_site_fract_z
_atom_site_occupancy
Sc1 Sc 0.000 0.000 0.000 1
Si1 Si 0.376 0.376 0.752 1
Si2 Si 0.624 0.624 0.248 1
Co1 Co 0.750 0.250 0.500 1
Co2 Co 0.250 0.750 0.500 1